A plane-wave DFT calculation with PBE was carried out for a relaxed Mg2AsRu crystal.

Summary:
- Magnetization: 0.0 μB per cell
- DFT total energy: -17.94 eV for the cell shown
- Energy of formation: -207 meV per atom
- Crystal system: tetragonal
- Volume: 73.44 Å³/cell
- D(E_F): 0.68 states/eV per atom

Structure (CIF):
```
data_Mg2AsRu
_chemical_formula_sum 'Mg2 As1 Ru1'
_cell_length_a 3.1279
_cell_length_b 3.1279
_cell_length_c 7.5060
_cell_angle_alpha 90.00
_cell_angle_beta 90.00
_cell_angle_gamma 90.00
_space_group_name_H-M_alt 'P 1'
_space_group_IT_number 1
_space_group_name_Hall 'P 1'
loop_
_atom_site_label
_atom_site_fract_x
_atom_site_fract_y
_atom_site_fract_z
As1 0.5000 0.5000 0.6999
Mg1 0.0000 0.0000 0.9666
Mg2 0.5000 0.5000 0.2940
Ru1 0.0000 0.0000 0.5395
```